Record 1
## VZnH (PBE)

Data for crystalline VZnH at its relaxed geometry.

Cell lengths 5.4481, 5.4481, 5.4481 Å; angles 90.00, 90.00, 90.00 degrees
Fractional positions:
V1 0.0000 0.0000 0.0000
V2 0.0000 0.5000 0.5000
V3 0.5000 0.0000 0.5000
V4 0.5000 0.5000 0.0000
Zn1 0.2500 0.2500 0.7500
Zn2 0.2500 0.7500 0.2500
Zn3 0.7500 0.2500 0.2500
Zn4 0.7500 0.7500 0.7500
H1 0.0000 0.0000 0.5000
H2 0.0000 0.5000 0.0000
H3 0.5000 0.0000 0.0000
H4 0.5000 0.5000 0.5000

* raw total energy: -38.7 eV for the cell shown
* total magnetization: 0.000 μB per atom

Record 2
## Pr5Sm2TmTh (PBE)

Data for crystalline Pr5Sm2TmTh at its relaxed geometry.

Cell lengths 11.3349, 11.3349, 10.6396 Å; angles 90.00, 90.00, 152.06 degrees
Fractional positions:
Pr1 0.0000 0.0000 0.0000
Pr2 0.0000 0.0000 0.5000
Pr3 0.1280 0.8720 0.7500
Pr4 0.2228 0.7772 0.0582
Pr5 0.2228 0.7772 0.4418
Pr6 0.4989 0.5011 0.2500
Pr7 0.5011 0.4989 0.7500
Pr8 0.7772 0.2228 0.5582
Pr9 0.7772 0.2228 0.9418
Pr10 0.8720 0.1280 0.2500
Sm1 0.3875 0.6125 0.5038
Sm2 0.3875 0.6125 0.9962
Sm3 0.6125 0.3875 0.0038
Sm4 0.6125 0.3875 0.4962
Tm1 0.1024 0.8976 0.2500
Tm2 0.8976 0.1024 0.7500
Th1 0.2898 0.7102 0.7500
Th2 0.7102 0.2898 0.2500

* ΔH_f (0 K): 0.13 eV/atom
* raw total energy: -88.0 eV for the cell shown
* total magnetization: 0.000 μB per atom

In the order shown, the computed DOS at the Fermi energy values come out to 5.0; 25.3 states/eV/cell.